Entry from the Alexandria database: a geometry-optimized Ho2Er3Cd2 structure (PBE).

SG = No. 65
excess energy over the best structure of this formula in the dataset = 102.5 meV/atom
VASP energy = -3.5716 eV per atom
magnetic moment = 0.00 μB per formula unit
formation enthalpy at 0 K = -0.05 eV/atom
N(E_F) = 0.88 states/eV/atom

Cell: 11.536 11.536 3.432 Å, 90.00 90.00 154.69°
Atoms (fractional coordinates):
Ho 0.210 0.790 0.000
Ho 0.790 0.210 0.000
Er 0.353 0.647 0.500
Er 0.500 0.500 0.500
Er 0.647 0.353 0.500
Cd 0.069 0.931 0.000
Cd 0.931 0.069 0.000